Record 1
## Ag2Hg2S3 (PBE)

Data for a relaxed Ag2Hg2S3 crystal.

a b c (Å): 12.662 3.897 6.929
angles (deg): 90.00 108.25 90.00
Space group C2/m (No. 12)
Symmetry-distinct sites (fractional):
Ag 0.141 0.000 0.345 (multiplicity 4)
Hg 0.110 0.500 0.849 (multiplicity 4)
S 0.000 0.000 0.000 (multiplicity 2)
S 0.208 0.000 0.717 (multiplicity 4)

Output
Electronic total energy (eV per cell): -36.73


Record 2
## Ag2Hg2S (PBE)

Data for a relaxed Ag2Hg2S crystal.

a b c (Å): 6.792 6.792 6.001
angles (deg): 90.00 90.00 90.00
Space group P4/mbm (No. 127)
Symmetry-distinct sites (fractional):
Ag 0.235 0.265 0.000 (multiplicity 4)
Hg 0.173 0.327 0.500 (multiplicity 4)
S 0.000 0.000 0.000 (multiplicity 2)

Output
ΔE to the lowest computed polymorph (kcal/mol of atoms): 0.000
Electronic total energy (eV per cell): -20.21


Record 3
## AgHgS (PBE)

Data for a relaxed AgHgS crystal.

a b c (Å): 10.012 6.751 3.970
angles (deg): 90.00 95.53 90.00
Space group C2/m (No. 12)
Symmetry-distinct sites (fractional):
Ag 0.000 0.219 0.000 (multiplicity 4)
Hg 0.164 0.000 0.548 (multiplicity 4)
S 0.167 0.500 0.910 (multiplicity 4)

Output
ΔE to the lowest computed polymorph (kcal/mol of atoms): 2.823
Electronic total energy (eV per cell): -28.54


Record 4
## AgHg4S5 (PBE)

Data for a relaxed AgHg4S5 crystal.

a b c (Å): 8.466 8.466 6.866
angles (deg): 90.00 90.00 90.00
Space group I4 (No. 79)
Symmetry-distinct sites (fractional):
Ag 0.000 0.000 0.000 (multiplicity 2)
Hg 0.004 0.709 0.558 (multiplicity 8)
S 0.000 0.000 0.410 (multiplicity 2)
S 0.002 0.708 0.935 (multiplicity 8)

Output
Electronic total energy (eV per cell): -49.23


Record 5
## AgHg2S2 (PBE)

Data for a relaxed AgHg2S2 crystal.

a b c (Å): 7.530 7.530 4.130
angles (deg): 90.00 90.00 90.00
Space group P4/mbm (No. 127)
Symmetry-distinct sites (fractional):
Ag 0.000 0.000 0.000 (multiplicity 2)
Hg 0.128 0.372 0.500 (multiplicity 4)
S 0.225 0.725 0.000 (multiplicity 4)

Output
Electronic total energy (eV per cell): -22.25


Record 6
## AgHgS (PBE)

Data for a relaxed AgHgS crystal.

a b c (Å): 4.506 6.316 6.319
angles (deg): 62.48 69.71 69.44
Space group P1 (No. 1)
Symmetry-distinct sites (fractional):
Ag 0.000 0.000 0.000 (multiplicity 1)
Ag 0.338 0.094 0.236 (multiplicity 1)
Hg 0.514 0.282 0.685 (multiplicity 1)
Hg 0.675 0.753 0.890 (multiplicity 1)
S 0.312 0.724 0.640 (multiplicity 1)
S 0.734 0.315 0.226 (multiplicity 1)

Output
ΔE to the lowest computed polymorph (kcal/mol of atoms): 2.568
Electronic total energy (eV per cell): -14.34


The following volume values (in Å³/f.u.) correspond, in order, to the records above: 162.4 138.4 66.8 246.1 117.1 72.8.
The following energy relative to the elements, uncorrected values (in eV/atom) correspond, in order, to the records above: 0.05 0.07 0.05 0.01 0.12 0.04.